First-principles (GGA-PBE) data for a geometry-optimized CaSb2TeRu structure, as listed in the Alexandria database.

Computed properties:
**Symmetry**: P4/mmm, No. 123
**Total moment**: 0.00 μB per atom
**Uncorrected energy**: -23.19 eV/cell
**Formation energy without anion corrections**: -0.10 eV per atom

Unit cell a=5.0022 b=5.0022 c=5.9803 alpha=90.00 beta=90.00 gamma=90.00
Fractional coordinates of all 5 atoms:
Sb 0.0000 0.5000 0.0000
Sb 0.5000 0.0000 0.0000
Ca 0.5000 0.5000 0.5000
Te 0.0000 0.0000 0.5000
Ru 0.0000 0.0000 0.0000

First-principles (GGA-PBE) data for a geometry-optimized Tb2FeNi3P4 structure, as listed in the Alexandria database.

Computed properties:
**ΔE_f**: -962 meV per atom
**Symmetry**: P-4m2, No. 115
**Total moment**: 0.15 μB per atom
**Uncorrected energy**: -66.32 eV/cell

Unit cell a=3.9771 b=3.9771 c=9.1132 alpha=90.00 beta=90.00 gamma=90.00
Fractional coordinates of all 10 atoms:
Tb 0.5000 0.0000 0.2447
Tb 0.0000 0.5000 0.7553
Fe 0.5000 0.5000 0.5000
Ni 0.0000 0.0000 0.5000
Ni 0.5000 0.0000 0.8820
Ni 0.0000 0.5000 0.1180
P 0.5000 0.5000 0.0000
P 0.0000 0.0000 0.0000
P 0.5000 0.0000 0.6303
P 0.0000 0.5000 0.3697

First-principles (GGA-PBE) data for a geometry-optimized Na2LiRe structure, as listed in the Alexandria database.

Computed properties:
**ΔE_f**: 1286 meV per atom
**Symmetry**: Fm-3m, No. 225
**Total moment**: 0.82 μB per atom
**Uncorrected energy**: -11.86 eV/cell

Unit cell a=5.0591 b=5.0591 c=5.0591 alpha=60.00 beta=60.00 gamma=60.00
Fractional coordinates of all 4 atoms:
Re 0.5000 0.5000 0.5000
Li 0.0000 0.0000 0.0000
Na 0.2500 0.2500 0.2500
Na 0.7500 0.7500 0.7500

First-principles (GGA-PBE) data for a geometry-optimized UInCuAu structure, as listed in the Alexandria database.

Computed properties:
**ΔE_f**: -29 meV per atom
**Symmetry**: F-43m, No. 216
**Total moment**: 0.60 μB per atom
**Uncorrected energy**: -21.52 eV/cell

Unit cell a=4.8753 b=4.8753 c=4.8753 alpha=60.00 beta=60.00 gamma=60.00
Fractional coordinates of all 4 atoms:
Au 0.2500 0.2500 0.2500
U 0.0000 0.0000 0.0000
Cu 0.7500 0.7500 0.7500
In 0.5000 0.5000 0.5000

What did the third record say?
First-principles (GGA-PBE) data for a geometry-optimized Na2LiRe structure, as listed in the Alexandria database.

Computed properties:
**ΔE_f**: 1286 meV per atom
**Symmetry**: Fm-3m, No. 225
**Total moment**: 0.82 μB per atom
**Uncorrected energy**: -11.86 eV/cell

Unit cell a=5.0591 b=5.0591 c=5.0591 alpha=60.00 beta=60.00 gamma=60.00
Fractional coordinates of all 4 atoms:
Re 0.5000 0.5000 0.5000
Li 0.0000 0.0000 0.0000
Na 0.2500 0.2500 0.2500
Na 0.7500 0.7500 0.7500

Look up the total moment of the fourth one. 0.60 μB per atom

Number 2 is which compound? Tb2FeNi3P4